KNbCd2Rh | PBE | optimized geometry

Summary:
Calculated volume: 175.3 Å³/cell
Electronic total energy: -11.76 eV per cell
D(E_F): 14.7 states/eV/f.u.
Space group: P4/mmm (123)
Energy relative to the elements: 1.718 eV/atom

Lattice parameters (Å, degrees): 5.4743 5.8505 5.4743 90.00 90.00 90.00
With the nearest neighbours (Å) after each atom.
Sites, in units of the cell vectors:
Nb1 0.0000 0.0000 0.0000  4 Cd 2.74, 2 K 2.93
Rh1 0.5000 0.5000 0.5000  4 K 3.87, 8 Cd 4.01
K1 0.0000 0.5000 0.0000  2 Nb 2.93
Cd1 0.0000 0.0000 0.5000  2 Nb 2.74
Cd2 0.5000 0.0000 0.0000  2 Nb 2.74

Cs3Pr3PuS8 | PBE | optimized geometry

Summary:
Calculated volume: 504.8 Å³/cell
Electronic total energy: -90.19 eV per cell
D(E_F): 11.6 states/eV/f.u.
Space group: C2/m (12)

Lattice parameters (Å, degrees): 8.4202 8.4202 9.5541 116.18 90.00 120.00
With the nearest neighbours (Å) after each atom.
Sites, in units of the cell vectors:
Cs1 0.0000 0.0000 0.0000  6 S 3.54-3.56
Cs2 0.0000 0.5000 0.0000  6 S 3.54-3.56
Cs3 0.5000 0.5000 0.0000  6 S 3.54-3.56
Pr1 0.5000 0.0000 0.5000  6 S 2.88-2.89
Pr2 0.5000 0.5000 0.5000  6 S 2.88-2.89
Pr3 0.0000 0.5000 0.5000  6 S 2.88-2.89
Pu1 0.0000 0.0000 0.5000  6 S 2.73
S1 0.2710 0.5419 0.3132  3 Pr 2.88
S2 0.7290 0.4581 0.6868  3 Pr 2.88
S3 0.7828 0.5656 0.3224  1 Pu 2.73, 2 Pr 2.89
S4 0.2172 0.4344 0.6776  1 Pu 2.73, 2 Pr 2.89
S5 0.7828 0.0393 0.3224  1 Pu 2.73, 2 Pr 2.89
S6 0.2172 0.9607 0.6776  1 Pu 2.73, 2 Pr 2.89
S7 0.2564 0.0393 0.3224  1 Pu 2.73, 2 Pr 2.89
S8 0.7436 0.9607 0.6776  1 Pu 2.73, 2 Pr 2.89

no.,mass density (g cm⁻³)
1,4.35
2,4.35